Record 1
## Ce4Re6O19 (meta-GGA SCAN)

Data for a crystal of Ce4Re6O19 relaxed with PBEsol.

Density ... 9202 kg/m3
Uncorrected energy ... -1581.7 eV for the cell shown
E_form (uncorrected) ... -2332 meV/atom

CIF file:
```
data_Ce4Re6O19
_chemical_formula_sum 'Ce8 Re12 O38'
_space_group_name_H-M_alt 'I 2 3'
_space_group_IT_number 197
_space_group_name_Hall 'I 2 2 3'
_cell_length_a 8.943
_cell_length_b 8.943
_cell_length_c 8.943
_cell_angle_alpha 90.00
_cell_angle_beta 90.00
_cell_angle_gamma 90.00
loop_
_atom_site_label
_atom_site_fract_x
_atom_site_fract_y
_atom_site_fract_z
_atom_site_occupancy
Ce1 0.155 0.155 0.155 1
Re1 0.000 0.134 0.500 1
O1 0.000 0.000 0.000 1
O2 0.000 0.000 0.316 1
O3 0.011 0.281 0.664 1
```



Record 2
## TlSb2Pb (meta-GGA SCAN)

Data for a crystal of TlSb2Pb relaxed with PBEsol.

Density ... 9684 kg/m3
Uncorrected energy ... -444.4 eV for the cell shown
E_form (uncorrected) ... 116 meV/atom

CIF file:
```
data_TlSb2Pb
_chemical_formula_sum 'Tl2 Sb4 Pb2'
_space_group_name_H-M_alt 'I m m m'
_space_group_IT_number 71
_space_group_name_Hall '-I 2 2'
_cell_length_a 4.697
_cell_length_b 4.715
_cell_length_c 10.144
_cell_angle_alpha 90.00
_cell_angle_beta 90.00
_cell_angle_gamma 90.00
loop_
_atom_site_label
_atom_site_fract_x
_atom_site_fract_y
_atom_site_fract_z
_atom_site_occupancy
Tl1 0.000 0.000 0.000 1
Sb1 0.000 0.500 0.250 1
Pb1 0.000 0.000 0.500 1
```



Record 3
## LiMnCo2 (meta-GGA SCAN)

Data for a crystal of LiMnCo2 relaxed with PBEsol.

Density ... 7079 kg/m3
Formation enthalpy at 0 K ... 0.165 eV/atom
Offset from the most stable computed form ... 31 meV/atom
Uncorrected energy ... -54.6 eV for the cell shown

CIF file:
```
data_LiMnCo2
_chemical_formula_sum 'Li1 Mn1 Co2'
_space_group_name_H-M_alt 'P 4/m m m'
_space_group_IT_number 123
_space_group_name_Hall '-P 4 2'
_cell_length_a 4.037
_cell_length_b 4.037
_cell_length_c 2.587
_cell_angle_alpha 90.00
_cell_angle_beta 90.00
_cell_angle_gamma 90.00
loop_
_atom_site_label
_atom_site_fract_x
_atom_site_fract_y
_atom_site_fract_z
_atom_site_occupancy
Li1 0.000 0.000 0.000 1
Mn1 0.500 0.500 0.000 1
Co1 0.000 0.500 0.500 1
```



Record 4
## LaTe2PtN (meta-GGA SCAN)

Data for a crystal of LaTe2PtN relaxed with PBEsol.

Density ... 8574 kg/m3
Uncorrected energy ... -199.3 eV for the cell shown
E_form (uncorrected) ... -435 meV/atom

CIF file:
```
data_LaTe2PtN
_chemical_formula_sum 'La1 Te2 Pt1 N1'
_space_group_name_H-M_alt 'P 4/m m m'
_space_group_IT_number 123
_space_group_name_Hall '-P 4 2'
_cell_length_a 5.551
_cell_length_b 5.551
_cell_length_c 3.791
_cell_angle_alpha 90.00
_cell_angle_beta 90.00
_cell_angle_gamma 90.00
loop_
_atom_site_label
_atom_site_fract_x
_atom_site_fract_y
_atom_site_fract_z
_atom_site_occupancy
La1 0.000 0.000 0.000 1
Te1 0.000 0.500 0.500 1
Pt1 0.500 0.500 0.500 1
N1 0.500 0.500 0.000 1
```



Record 5
## ScRh (meta-GGA SCAN)

Data for a crystal of ScRh relaxed with PBEsol.

Density ... 7613 kg/m3
Formation enthalpy at 0 K ... -1.169 eV/atom
Uncorrected energy ... -50.3 eV for the cell shown

CIF file:
```
data_ScRh
_chemical_formula_sum 'Sc1 Rh1'
_space_group_name_H-M_alt 'P m -3 m'
_space_group_IT_number 221
_space_group_name_Hall '-P 4 2 3'
_cell_length_a 3.183
_cell_length_b 3.183
_cell_length_c 3.183
_cell_angle_alpha 90.00
_cell_angle_beta 90.00
_cell_angle_gamma 90.00
loop_
_atom_site_label
_atom_site_fract_x
_atom_site_fract_y
_atom_site_fract_z
_atom_site_occupancy
Sc1 0.000 0.000 0.000 1
Rh1 0.500 0.500 0.500 1
```



Record 6
## Sr4IrO6 (meta-GGA SCAN)

Data for a crystal of Sr4IrO6 relaxed with PBEsol.

Density ... 6623 kg/m3
Uncorrected energy ... -1351.5 eV for the cell shown
E_form (uncorrected) ... -2514 meV/atom

CIF file:
```
data_Sr4IrO6
_chemical_formula_sum 'Sr24 Ir6 O36'
_space_group_name_H-M_alt 'R -3 c'
_space_group_IT_number 167
_space_group_name_Hall '-R 3 2"c'
_cell_length_a 9.6915
_cell_length_b 9.6915
_cell_length_c 11.8115
_cell_angle_alpha 90.00
_cell_angle_beta 90.00
_cell_angle_gamma 120.00
loop_
_atom_site_label
_atom_site_fract_x
_atom_site_fract_y
_atom_site_fract_z
_atom_site_occupancy
Sr1 0.0000 0.0000 0.2500 1
Sr2 0.0000 0.3657 0.2500 1
Ir1 0.0000 0.0000 0.0000 1
O1 0.0263 0.1852 0.4005 1
```



Record 7
## TiZnCu2Pd (meta-GGA SCAN)

Data for a crystal of TiZnCu2Pd relaxed with PBEsol.

Density ... 6118 kg/m3
Formation enthalpy at 0 K ... 0.723 eV/atom
Uncorrected energy ... -89.1 eV for the cell shown

CIF file:
```
data_TiZnCu2Pd
_chemical_formula_sum 'Ti1 Zn1 Cu2 Pd1'
_space_group_name_H-M_alt 'P 4/m m m'
_space_group_IT_number 123
_space_group_name_Hall '-P 4 2'
_cell_length_a 4.559
_cell_length_b 4.559
_cell_length_c 4.530
_cell_angle_alpha 90.00
_cell_angle_beta 90.00
_cell_angle_gamma 90.00
loop_
_atom_site_label
_atom_site_fract_x
_atom_site_fract_y
_atom_site_fract_z
_atom_site_occupancy
Ti1 0.000 0.000 0.000 1
Zn1 0.500 0.500 0.000 1
Cu1 0.000 0.500 0.500 1
Pd1 0.500 0.500 0.500 1
```



Record 8
## LaTeIN2 (meta-GGA SCAN)

Data for a crystal of LaTeIN2 relaxed with PBEsol.

Density ... 6607 kg/m3
Uncorrected energy ... -131.9 eV for the cell shown
E_form (uncorrected) ... 753 meV/atom

CIF file:
```
data_LaTeIN2
_chemical_formula_sum 'La1 Te1 I1 N2'
_space_group_name_H-M_alt 'P 4/m m m'
_space_group_IT_number 123
_space_group_name_Hall '-P 4 2'
_cell_length_a 4.336
_cell_length_b 4.336
_cell_length_c 5.633
_cell_angle_alpha 90.00
_cell_angle_beta 90.00
_cell_angle_gamma 90.00
loop_
_atom_site_label
_atom_site_fract_x
_atom_site_fract_y
_atom_site_fract_z
_atom_site_occupancy
La1 0.000 0.000 0.000 1
Te1 0.500 0.500 0.500 1
I1 0.500 0.500 0.000 1
N1 0.000 0.500 0.500 1
```



Record 9
## YTaRu (meta-GGA SCAN)

Data for a crystal of YTaRu relaxed with PBEsol.

Density ... 9946 kg/m3
Formation enthalpy at 0 K ... 0.524 eV/atom
Uncorrected energy ... -510.7 eV for the cell shown

CIF file:
```
data_YTaRu
_chemical_formula_sum 'Y4 Ta4 Ru4'
_space_group_name_H-M_alt 'F -4 3 m'
_space_group_IT_number 216
_space_group_name_Hall 'F -4 2 3'
_cell_length_a 6.280
_cell_length_b 6.280
_cell_length_c 6.280
_cell_angle_alpha 90.00
_cell_angle_beta 90.00
_cell_angle_gamma 90.00
loop_
_atom_site_label
_atom_site_fract_x
_atom_site_fract_y
_atom_site_fract_z
_atom_site_occupancy
Y1 0.000 0.000 0.000 1
Ta1 0.250 0.250 0.750 1
Ru1 0.000 0.000 0.500 1
```



Record 10
## EuZn2P2 (meta-GGA SCAN)

Data for a crystal of EuZn2P2 relaxed with PBEsol.

Density ... 6075 kg/m3
Formation enthalpy at 0 K ... -0.813 eV/atom
Uncorrected energy ... -105.6 eV for the cell shown

CIF file:
```
data_EuZn2P2
_chemical_formula_sum 'Eu1 Zn2 P2'
_space_group_name_H-M_alt 'P -3 m 1'
_space_group_IT_number 164
_space_group_name_Hall '-P 3 2"'
_cell_length_a 4.0187
_cell_length_b 4.0187
_cell_length_c 6.7376
_cell_angle_alpha 90.00
_cell_angle_beta 90.00
_cell_angle_gamma 120.00
loop_
_atom_site_label
_atom_site_fract_x
_atom_site_fract_y
_atom_site_fract_z
_atom_site_occupancy
Eu1 0.0000 0.0000 0.0000 1
Zn1 0.3333 0.6667 0.6352 1
P1 0.3333 0.6667 0.2651 1
```



Record 11
## Pd3Pb2S2 (meta-GGA SCAN)

Data for a crystal of Pd3Pb2S2 relaxed with PBEsol.

Density ... 9429 kg/m3
Offset from the most stable computed form ... 3 meV/atom
Uncorrected energy ... -1089.0 eV for the cell shown
E_form (uncorrected) ... -445 meV/atom

CIF file:
```
data_Pd3Pb2S2
_chemical_formula_sum 'Pd12 Pb8 S8'
_space_group_name_H-M_alt 'I 21 3'
_space_group_IT_number 199
_space_group_name_Hall 'I 2b 2c 3'
_cell_length_a 8.252
_cell_length_b 8.252
_cell_length_c 8.252
_cell_angle_alpha 90.00
_cell_angle_beta 90.00
_cell_angle_gamma 90.00
loop_
_atom_site_label
_atom_site_fract_x
_atom_site_fract_y
_atom_site_fract_z
_atom_site_occupancy
Pd1 0.000 0.250 0.991 1
Pb1 0.243 0.257 0.743 1
S1 0.028 0.472 0.528 1
```



Record 12
## ZnSeBr (meta-GGA SCAN)

Data for a crystal of ZnSeBr relaxed with PBEsol.

Density ... 5316 kg/m3
Uncorrected energy ... -54.1 eV for the cell shown
E_form (uncorrected) ... -358 meV/atom

CIF file:
```
data_ZnSeBr
_chemical_formula_sum 'Zn1 Se1 Br1'
_space_group_name_H-M_alt 'P 3 m 1'
_space_group_IT_number 156
_space_group_name_Hall 'P 3 -2"'
_cell_length_a 3.4665
_cell_length_b 3.4665
_cell_length_c 6.7310
_cell_angle_alpha 90.00
_cell_angle_beta 90.00
_cell_angle_gamma 120.00
loop_
_atom_site_label
_atom_site_fract_x
_atom_site_fract_y
_atom_site_fract_z
_atom_site_occupancy
Zn1 0.0000 0.0000 0.0000 1
Se1 0.6667 0.3333 0.2426 1
Br1 0.3333 0.6667 0.7612 1
```



Record 13
## KLiTe3 (meta-GGA SCAN)

Data for a crystal of KLiTe3 relaxed with PBEsol.

Density ... 4952 kg/m3
Uncorrected energy ... -124.0 eV for the cell shown
E_form (uncorrected) ... -315 meV/atom

CIF file:
```
data_KLiTe3
_chemical_formula_sum 'K1 Li1 Te3'
_space_group_name_H-M_alt 'P m -3 m'
_space_group_IT_number 221
_space_group_name_Hall '-P 4 2 3'
_cell_length_a 5.239
_cell_length_b 5.239
_cell_length_c 5.239
_cell_angle_alpha 90.00
_cell_angle_beta 90.00
_cell_angle_gamma 90.00
loop_
_atom_site_label
_atom_site_fract_x
_atom_site_fract_y
_atom_site_fract_z
_atom_site_occupancy
K1 0.000 0.000 0.000 1
Li1 0.500 0.500 0.500 1
Te1 0.000 0.500 0.500 1
```



Record 14
## Re2NiPt (meta-GGA SCAN)

Data for a crystal of Re2NiPt relaxed with PBEsol.

Density ... 18961 kg/m3
Formation enthalpy at 0 K ... -0.004 eV/atom
Offset from the most stable computed form ... 40 meV/atom
Uncorrected energy ... -228.6 eV for the cell shown

CIF file:
```
data_Re2NiPt
_chemical_formula_sum 'Re2 Ni1 Pt1'
_space_group_name_H-M_alt 'P m m m'
_space_group_IT_number 47
_space_group_name_Hall '-P 2 2'
_cell_length_a 2.659
_cell_length_b 3.859
_cell_length_c 5.345
_cell_angle_alpha 90.00
_cell_angle_beta 90.00
_cell_angle_gamma 90.00
loop_
_atom_site_label
_atom_site_fract_x
_atom_site_fract_y
_atom_site_fract_z
_atom_site_occupancy
Re1 0.000 0.000 0.225 1
Ni1 0.500 0.500 0.000 1
Pt1 0.500 0.500 0.500 1
```



Record 15
## Cd5Ag3 (meta-GGA SCAN)

Data for a crystal of Cd5Ag3 relaxed with PBEsol.

Density ... 9554 kg/m3
Formation enthalpy at 0 K ... -0.001 eV/atom
Offset from the most stable computed form ... 36 meV/atom
Uncorrected energy ... -492.4 eV for the cell shown

CIF file:
```
data_Cd5Ag3
_chemical_formula_sum 'Cd10 Ag6'
_space_group_name_H-M_alt 'P 63/m c m'
_space_group_IT_number 193
_space_group_name_Hall '-P 6c 2'
_cell_length_a 8.0534
_cell_length_b 8.0534
_cell_length_c 5.4811
_cell_angle_alpha 90.00
_cell_angle_beta 90.00
_cell_angle_gamma 120.00
loop_
_atom_site_label
_atom_site_fract_x
_atom_site_fract_y
_atom_site_fract_z
_atom_site_occupancy
Cd1 0.0000 0.2278 0.2500 1
Cd2 0.3333 0.6667 0.0000 1
Ag1 0.0000 0.4009 0.7500 1
```



Record 16
## SiMo2N (meta-GGA SCAN)

Data for a crystal of SiMo2N relaxed with PBEsol.

Density ... 6192 kg/m3
Offset from the most stable computed form ... 0 meV/atom
Uncorrected energy ... -350.5 eV for the cell shown
E_form (uncorrected) ... 365 meV/atom

CIF file:
```
data_SiMo2N
_chemical_formula_sum 'Si4 Mo8 N4'
_space_group_name_H-M_alt 'I -4 2 d'
_space_group_IT_number 122
_space_group_name_Hall 'I -4 2bw'
_cell_length_a 4.932
_cell_length_b 4.932
_cell_length_c 10.320
_cell_angle_alpha 90.00
_cell_angle_beta 90.00
_cell_angle_gamma 90.00
loop_
_atom_site_label
_atom_site_fract_x
_atom_site_fract_y
_atom_site_fract_z
_atom_site_occupancy
Si1 0.000 0.000 0.000 1
Mo1 0.163 0.250 0.625 1
N1 0.000 0.000 0.500 1
```



Record 17
## LiCa2Ir (meta-GGA SCAN)

Data for a crystal of LiCa2Ir relaxed with PBEsol.

Density ... 4708 kg/m3
Formation enthalpy at 0 K ... -0.208 eV/atom
Offset from the most stable computed form ... 62 meV/atom
Uncorrected energy ... -93.6 eV for the cell shown

CIF file:
```
data_LiCa2Ir
_chemical_formula_sum 'Li1 Ca2 Ir1'
_space_group_name_H-M_alt 'P 4/m m m'
_space_group_IT_number 123
_space_group_name_Hall '-P 4 2'
_cell_length_a 3.393
_cell_length_b 3.393
_cell_length_c 8.557
_cell_angle_alpha 90.00
_cell_angle_beta 90.00
_cell_angle_gamma 90.00
loop_
_atom_site_label
_atom_site_fract_x
_atom_site_fract_y
_atom_site_fract_z
_atom_site_occupancy
Li1 0.000 0.000 0.000 1
Ca1 0.500 0.500 0.308 1
Ir1 0.000 0.000 0.500 1
```



Record 18
## ZnIrRu (meta-GGA SCAN)

Data for a crystal of ZnIrRu relaxed with PBEsol.

Density ... 14493 kg/m3
Formation enthalpy at 0 K ... -0.100 eV/atom
Uncorrected energy ... -239.5 eV for the cell shown

CIF file:
```
data_ZnIrRu
_chemical_formula_sum 'Zn2 Ir2 Ru2'
_space_group_name_H-M_alt 'I 4 m m'
_space_group_IT_number 107
_space_group_name_Hall 'I 4 -2'
_cell_length_a 2.705
_cell_length_b 2.705
_cell_length_c 11.230
_cell_angle_alpha 90.00
_cell_angle_beta 90.00
_cell_angle_gamma 90.00
loop_
_atom_site_label
_atom_site_fract_x
_atom_site_fract_y
_atom_site_fract_z
_atom_site_occupancy
Zn1 0.000 0.000 0.000 1
Ir1 0.000 0.000 0.674 1
Ru1 0.000 0.000 0.328 1
```



Record 19
## EuFeO3 (meta-GGA SCAN)

Data for a crystal of EuFeO3 relaxed with PBEsol.

Density ... 7979 kg/m3
Uncorrected energy ... -410.3 eV for the cell shown
E_form (uncorrected) ... -2411 meV/atom

CIF file:
```
data_EuFeO3
_chemical_formula_sum 'Eu4 Fe4 O12'
_space_group_name_H-M_alt 'I m m a'
_space_group_IT_number 74
_space_group_name_Hall '-I 2b 2'
_cell_length_a 5.298
_cell_length_b 7.484
_cell_length_c 5.371
_cell_angle_alpha 90.00
_cell_angle_beta 90.00
_cell_angle_gamma 90.00
loop_
_atom_site_label
_atom_site_fract_x
_atom_site_fract_y
_atom_site_fract_z
_atom_site_occupancy
Eu1 0.000 0.250 0.004 1
Fe1 0.000 0.000 0.500 1
O1 0.000 0.250 0.559 1
O2 0.250 0.032 0.250 1
```



Record 20
## CaCdP (meta-GGA SCAN)

Data for a crystal of CaCdP relaxed with PBEsol.

Density ... 4673 kg/m3
Formation enthalpy at 0 K ... -0.355 eV/atom
Offset from the most stable computed form ... 0 meV/atom
Uncorrected energy ... -103.1 eV for the cell shown

CIF file:
```
data_CaCdP
_chemical_formula_sum 'Ca2 Cd2 P2'
_space_group_name_H-M_alt 'I 4 m m'
_space_group_IT_number 107
_space_group_name_Hall 'I 4 -2'
_cell_length_a 3.572
_cell_length_b 3.572
_cell_length_c 10.217
_cell_angle_alpha 90.00
_cell_angle_beta 90.00
_cell_angle_gamma 90.00
loop_
_atom_site_label
_atom_site_fract_x
_atom_site_fract_y
_atom_site_fract_z
_atom_site_occupancy
Ca1 0.000 0.000 0.000 1
Cd1 0.000 0.000 0.701 1
P1 0.000 0.000 0.327 1
```